# PBE Ho4Mg5Cd, optimized geometry
# - DFT formation energy (eV/atom) = -0.088
# - electronic total energy (eV per atom) = -2.81
data_Ho4Mg5Cd
_chemical_formula_sum 'Ho4 Mg5 Cd1'
_symmetry_space_group_name_H-M 'P 1'
_symmetry_Int_Tables_number 1
_symmetry_space_group_name_Hall 'P 1'
_cell_length_a 3.756
_cell_length_b 3.756
_cell_length_c 18.315
_cell_angle_alpha 90.00
_cell_angle_beta 90.00
_cell_angle_gamma 90.00
loop_
_atom_site_label
_atom_site_fract_x
_atom_site_fract_y
_atom_site_fract_z
Ho1 0.000 0.000 0.195
Ho2 0.000 0.000 0.396
Ho3 0.000 0.000 0.604
Ho4 0.000 0.000 0.805
Mg1 0.500 0.500 0.087
Mg2 0.500 0.500 0.295
Mg3 0.500 0.500 0.500
Mg4 0.500 0.500 0.705
Mg5 0.500 0.500 0.913
Cd1 0.000 0.000 0.000

# PBE CrCu2TcRu, optimized geometry
# - DFT formation energy (eV/atom) = 1.505
# - electronic total energy (eV per atom) = -5.99
data_CrCu2TcRu
_chemical_formula_sum 'Cr1 Cu2 Tc1 Ru1'
_symmetry_space_group_name_H-M 'P 1'
_symmetry_Int_Tables_number 1
_symmetry_space_group_name_Hall 'P 1'
_cell_length_a 4.404
_cell_length_b 4.201
_cell_length_c 4.404
_cell_angle_alpha 90.00
_cell_angle_beta 90.00
_cell_angle_gamma 90.00
loop_
_atom_site_label
_atom_site_fract_x
_atom_site_fract_y
_atom_site_fract_z
Ru1 0.500 0.500 0.500
Tc1 0.000 0.500 0.000
Cu1 0.000 0.000 0.500
Cu2 0.500 0.000 0.000
Cr1 0.000 0.000 0.000

# PBE KCaHfAl2, optimized geometry
# - DFT formation energy (eV/atom) = 1.403
# - electronic total energy (eV per atom) = -2.70
data_KCaHfAl2
_chemical_formula_sum 'K1 Ca1 Hf1 Al2'
_symmetry_space_group_name_H-M 'P 1'
_symmetry_Int_Tables_number 1
_symmetry_space_group_name_Hall 'P 1'
_cell_length_a 5.388
_cell_length_b 5.180
_cell_length_c 5.388
_cell_angle_alpha 90.00
_cell_angle_beta 90.00
_cell_angle_gamma 90.00
loop_
_atom_site_label
_atom_site_fract_x
_atom_site_fract_y
_atom_site_fract_z
Ca1 0.000 0.000 0.000
Hf1 0.500 0.500 0.500
K1 0.000 0.500 0.000
Al1 0.000 0.000 0.500
Al2 0.500 0.000 0.000

# PBE Dy3IrPd2, optimized geometry
# - DFT formation energy (eV/atom) = -0.898
# - electronic total energy (eV per atom) = -6.41
data_Dy3IrPd2
_chemical_formula_sum 'Dy6 Ir2 Pd4'
_symmetry_space_group_name_H-M 'P 1'
_symmetry_Int_Tables_number 1
_symmetry_space_group_name_Hall 'P 1'
_cell_length_a 4.929
_cell_length_b 7.797
_cell_length_c 6.937
_cell_angle_alpha 90.00
_cell_angle_beta 90.00
_cell_angle_gamma 71.57
loop_
_atom_site_label
_atom_site_fract_x
_atom_site_fract_y
_atom_site_fract_z
Dy1 0.831 0.338 0.758
Dy2 0.500 0.000 0.245
Dy3 0.169 0.662 0.242
Dy4 0.831 0.338 0.242
Dy5 0.169 0.662 0.758
Dy6 0.500 0.000 0.755
Ir1 0.336 0.328 0.000
Ir2 0.664 0.672 0.000
Pd1 0.000 0.000 0.000
Pd2 0.000 0.000 0.500
Pd3 0.333 0.333 0.500
Pd4 0.667 0.667 0.500